Material: Ta2AgRu
Method: DFT, SCAN
State: PBEsol geometry

```
Ta2AgRu
1.0
2.879 0.000 0.000
1.439 2.493 0.000
1.439 0.831 9.258
Ag Ru Ta
1 1 2
Cartesian
2.879 1.662 4.551
1.439 0.831 2.202
4.318 2.493 0.182
4.318 2.493 6.953
```

Values from the calculation:
For the energy of formation, the calculation gives 0.89 eV per formula unit. As for the space group: R3m, No. 160. Its crystal system is trigonal. The total energy is -49.62 eV/atom. As for the volume: 66.45 Å³ per cell.